Below is a geometry-optimized TlSnOF structure, with properties calculated at the PBE-GGA level.

Output
**SG**: Cm
**Total energy**: -4.661 eV/atom

Unit cell a=5.1361 b=5.1361 c=7.1212 alpha=127.34 beta=127.34 gamma=37.51
Element x y z (fractional)
Tl 0.0000 0.0000 0.0000
Sn 0.4893 0.4893 0.5045
O 0.0979 0.0979 0.7499
F 0.7171 0.7171 0.5250